The following is a GGA-PBE calculation of a relaxed PmZnTeO5 crystal, from the Alexandria database.

## Properties
- Raw total energy: -47.38 eV/f.u.
- Space group: No. 15
- Crystal system: monoclinic
- Raw formation energy: -1.678 eV per atom
- Total magnetic moment: 0.9 μB/f.u.

Cell: 6.140 6.140 8.602 Å, 110.49 110.49 90.71°
Each line ends with the local moment (μB).
Atoms (fractional coordinates):
Zn 0.696 0.304 0.750  0.02
Zn 0.304 0.696 0.250  0.02
O 0.716 0.257 0.032  0.23
O 0.340 0.307 0.666  0.05
O 0.660 0.693 0.334  0.05
O 0.307 0.340 0.166  0.05
O 0.257 0.716 0.532  0.23
O 0.693 0.660 0.834  0.05
O 0.910 0.090 0.750  0.05
O 0.284 0.743 0.968  0.23
O 0.090 0.910 0.250  0.05
O 0.743 0.284 0.468  0.23
Pm 0.000 0.000 0.500  0.00
Pm 0.000 0.000 0.000  0.00
Te 0.357 0.643 0.750  0.12
Te 0.643 0.357 0.250  0.12

The following is a GGA-PBE calculation of a relaxed PmZn2TeO6 crystal, from the Alexandria database.

## Properties
- Raw total energy: -57.04 eV/f.u.
- Space group: No. 15
- Crystal system: monoclinic
- Raw formation energy: -1.685 eV per atom
- Total magnetic moment: 0.0 μB/f.u.

Cell: 5.874 6.919 6.919 Å, 91.92 84.54 84.54°
Atoms (fractional coordinates):
Te 0.750 0.717 0.283
Te 0.250 0.283 0.717
Zn 0.193 0.767 0.588
Zn 0.693 0.588 0.767
Zn 0.307 0.412 0.233
Zn 0.807 0.233 0.412
O 0.140 0.276 0.449
O 0.860 0.724 0.551
O 0.922 0.376 0.828
O 0.578 0.172 0.624
O 0.640 0.449 0.276
O 0.422 0.828 0.376
O 0.360 0.551 0.724
O 0.367 0.220 0.009
O 0.867 0.009 0.220
O 0.133 0.991 0.780
O 0.633 0.780 0.991
O 0.078 0.624 0.172
Pm 0.750 0.099 0.901
Pm 0.250 0.901 0.099

The following is a GGA-PBE calculation of a relaxed PmZnTe2O8 crystal, from the Alexandria database.

## Properties
- Raw total energy: -68.16 eV/f.u.
- Space group: No. 119
- Crystal system: tetragonal
- Raw formation energy: -1.349 eV per atom
- Total magnetic moment: 0.0 μB/f.u.

Cell: 6.187 6.187 6.187 Å, 107.78 107.78 112.92°
Atoms (fractional coordinates):
O 0.934 0.620 0.686
O 0.310 0.505 0.196
O 0.752 0.066 0.686
O 0.495 0.690 0.804
O 0.934 0.248 0.314
O 0.310 0.114 0.804
O 0.886 0.690 0.196
O 0.380 0.066 0.314
Te 0.500 0.500 0.000
Te 0.750 0.250 0.500
Pm 0.000 0.000 0.000
Zn 0.250 0.750 0.500

The following is a GGA-PBE calculation of a relaxed PmZrTeO6 crystal, from the Alexandria database.

## Properties
- Raw total energy: -67.62 eV/f.u.
- Space group: No. 163
- Crystal system: trigonal
- Raw formation energy: -2.381 eV per atom
- Total magnetic moment: 0.0 μB/f.u.

Cell: 5.526 5.526 10.009 Å, 90.00 90.00 120.00°
Atoms (fractional coordinates):
O 0.009 0.361 0.638
O 0.648 0.639 0.138
O 0.991 0.352 0.138
O 0.361 0.009 0.138
O 0.639 0.648 0.638
O 0.352 0.361 0.862
O 0.648 0.009 0.362
O 0.361 0.352 0.362
O 0.991 0.639 0.362
O 0.352 0.991 0.638
O 0.009 0.648 0.862
O 0.639 0.991 0.862
Zr 0.333 0.667 0.250
Zr 0.667 0.333 0.750
Pm 0.000 0.000 0.000
Pm 0.000 0.000 0.500
Te 0.667 0.333 0.250
Te 0.333 0.667 0.750

The following is a GGA-PBE calculation of a relaxed PmThO4 crystal, from the Alexandria database.

## Properties
- Raw total energy: -51.59 eV/f.u.
- Space group: No. 141
- Crystal system: tetragonal
- Raw formation energy: -3.264 eV per atom
- Total magnetic moment: 1.1 μB/f.u.

Cell: 5.623 5.623 6.865 Å, 114.18 114.18 90.00°
Each line ends with the local moment (μB).
Atoms (fractional coordinates):
Th 0.500 0.500 0.000  0.02
Th 0.250 0.750 0.500  0.02
O 0.131 0.125 0.750  0.22
O 0.875 0.381 0.250  0.22
O 0.619 0.125 0.750  0.22
O 0.131 0.625 0.750  0.22
O 0.619 0.625 0.750  0.22
O 0.875 0.869 0.250  0.22
O 0.375 0.869 0.250  0.22
O 0.375 0.381 0.250  0.22
Pm 0.000 0.000 0.000  -0.01
Pm 0.750 0.250 0.500  -0.01

The following is a GGA-PBE calculation of a relaxed PmThO4 crystal, from the Alexandria database.

## Properties
- Raw total energy: -51.59 eV/f.u.
- Space group: No. 123
- Crystal system: tetragonal
- Raw formation energy: -3.265 eV per atom
- Total magnetic moment: 1.0 μB/f.u.

Cell: 3.960 3.960 5.643 Å, 90.00 90.00 90.00°
Each line ends with the local moment (μB).
Atoms (fractional coordinates):
Pm 0.000 0.000 0.000  -0.01
O 0.500 0.000 0.255  0.22
O 0.500 0.000 0.745  0.22
O 0.000 0.500 0.745  0.22
O 0.000 0.500 0.255  0.22
Th 0.500 0.500 0.500  0.01

The following is a GGA-PBE calculation of a relaxed Pm6ThO12 crystal, from the Alexandria database.

## Properties
- Raw total energy: -157.09 eV/f.u.
- Space group: No. 148
- Crystal system: trigonal
- Raw formation energy: -3.246 eV per atom
- Total magnetic moment: 2.1 μB/f.u.

Cell: 6.839 6.839 6.839 Å, 99.53 99.53 99.53°
Each line ends with the local moment (μB).
Atoms (fractional coordinates):
O 0.063 0.934 0.680  0.12
O 0.680 0.063 0.934  0.12
O 0.066 0.320 0.937  0.12
O 0.178 0.582 0.435  0.17
O 0.418 0.565 0.822  0.17
O 0.565 0.822 0.418  0.17
O 0.934 0.680 0.063  0.12
O 0.937 0.066 0.320  0.12
O 0.582 0.435 0.178  0.17
O 0.320 0.937 0.066  0.12
O 0.435 0.178 0.582  0.17
O 0.822 0.418 0.565  0.17
Th 0.000 0.000 0.000  0.07
Pm 0.392 0.859 0.694  -0.01
Pm 0.694 0.392 0.859  -0.01
Pm 0.859 0.694 0.392  -0.01
Pm 0.141 0.306 0.608  -0.01
Pm 0.306 0.608 0.141  -0.01
Pm 0.608 0.141 0.306  -0.01

The following is a GGA-PBE calculation of a relaxed PmTh3O8 crystal, from the Alexandria database.

## Properties
- Raw total energy: -109.69 eV/f.u.
- Space group: No. 221
- Crystal system: cubic
- Raw formation energy: -3.585 eV per atom
- Total magnetic moment: 0.6 μB/f.u.

Cell: 5.614 5.614 5.614 Å, 90.00 90.00 90.00°
Each line ends with the local moment (μB).
Atoms (fractional coordinates):
O 0.252 0.748 0.748  -0.07
O 0.748 0.252 0.252  -0.07
O 0.252 0.252 0.252  -0.07
O 0.252 0.252 0.748  -0.07
O 0.748 0.252 0.748  -0.07
O 0.252 0.748 0.252  -0.07
O 0.748 0.748 0.252  -0.07
O 0.748 0.748 0.748  -0.07
Th 0.000 0.500 0.500  0.00
Th 0.500 0.000 0.500  0.00
Th 0.500 0.500 0.000  0.00
Pm 0.000 0.000 0.000  0.00